No. 1
Entry from OQMD via LeMat-Bulk: a geometry-optimized Hf2RePd structure (PBE).

Cell lengths 6.4817, 6.5930, 6.6111 Å; angles 90.00, 90.00, 90.00 degrees
With the nearest neighbours (Å) after each atom.
Positions (direct):
Hf 0.4997 0.5000 0.7495  4 Pd 2.83-2.85, 4 Re 2.84-2.85
Hf 0.0003 0.5000 0.2495  4 Pd 2.83-2.85, 4 Re 2.84-2.85
Hf 0.9997 0.5000 0.7505  4 Pd 2.83-2.85, 4 Re 2.84-2.85
Hf 0.5003 0.0000 0.2505  4 Pd 2.83-2.85, 4 Re 2.84-2.85
Hf 0.9997 0.0000 0.7505  4 Pd 2.83-2.85, 4 Re 2.84-2.85
Hf 0.4997 0.0000 0.7495  4 Pd 2.83-2.85, 4 Re 2.84-2.85
Hf 0.0003 0.0000 0.2495  4 Pd 2.83-2.85, 4 Re 2.84-2.85
Hf 0.5003 0.5000 0.2505  4 Pd 2.83-2.85, 4 Re 2.84-2.85
Pd 0.2528 0.2500 0.0004  8 Hf 2.83-2.85
Pd 0.7472 0.7500 0.9996  8 Hf 2.83-2.85
Pd 0.2472 0.2500 0.5004  8 Hf 2.83-2.85
Pd 0.7528 0.7500 0.4996  8 Hf 2.83-2.85
Re 0.7507 0.2500 0.0003  8 Hf 2.84-2.85
Re 0.2507 0.7500 0.4997  8 Hf 2.84-2.85
Re 0.7493 0.2500 0.5003  8 Hf 2.84-2.85
Re 0.2493 0.7500 0.9997  8 Hf 2.84-2.85

Summary:
The calculation puts the formation energy at -0.54 eV/atom.

***

No. 2
Entry from OQMD via LeMat-Bulk: a geometry-optimized HfTlPdS3 structure (PBE).

Cell lengths 8.0866, 3.7001, 9.9081 Å; angles 90.00, 111.25, 90.00 degrees
With the nearest neighbours (Å) after each atom.
Positions (direct):
Pd 0.8911 0.2500 0.4037  3 S 2.35-2.52
Pd 0.1089 0.7500 0.5963  3 S 2.35-2.52
Hf 0.3150 0.2500 0.8406  6 S 2.54-2.61
Hf 0.6850 0.7500 0.1594  6 S 2.54-2.61
S 0.8971 0.2500 0.1513  1 Pd 2.52, 2 Hf 2.54
S 0.5551 0.7500 0.8776  3 Hf 2.60-2.61
S 0.1029 0.7500 0.8487  1 Pd 2.52, 2 Hf 2.54
S 0.4449 0.2500 0.1224  3 Hf 2.60-2.61
S 0.7240 0.7500 0.4266  2 Pd 2.35, 1 Hf 2.55
S 0.2760 0.2500 0.5734  2 Pd 2.35, 1 Hf 2.55
Tl 0.2488 0.7500 0.2860  7 S 3.23-3.58
Tl 0.7512 0.2500 0.7140  7 S 3.23-3.58

Summary:
The calculation puts the total energy at -5.9170 eV per atom.

***

No. 3
Entry from OQMD via LeMat-Bulk: a geometry-optimized HfSbPd structure (PBE).

Cell lengths 5.8645, 4.1613, 10.0708 Å; angles 90.00, 90.00, 90.00 degrees
With the nearest neighbours (Å) after each atom.
Positions (direct):
Sb 0.6284 0.7500 0.6611  2 Pd 2.74, 4 Hf 2.95-2.98
Sb 0.1284 0.7500 0.8389  2 Pd 2.74, 4 Hf 2.95-2.98
Sb 0.8716 0.2500 0.1611  2 Pd 2.74, 4 Hf 2.95-2.98
Sb 0.3716 0.2500 0.3389  2 Pd 2.74, 4 Hf 2.95-2.98
Pd 0.1522 0.7500 0.4612  3 Hf 2.71-2.87, 2 Sb 2.74, 2 Pd 2.85
Pd 0.8478 0.2500 0.5388  3 Hf 2.71-2.87, 2 Sb 2.74, 2 Pd 2.85
Pd 0.6522 0.7500 0.0388  3 Hf 2.71-2.87, 2 Sb 2.74, 2 Pd 2.85
Pd 0.3478 0.2500 0.9612  3 Hf 2.71-2.87, 2 Sb 2.74, 2 Pd 2.85
Hf 0.7266 0.7500 0.3554  3 Pd 2.71-2.87, 4 Sb 2.95-2.98
Hf 0.7734 0.2500 0.8554  3 Pd 2.71-2.87, 4 Sb 2.95-2.98
Hf 0.2734 0.2500 0.6446  3 Pd 2.71-2.87, 4 Sb 2.95-2.98
Hf 0.2266 0.7500 0.1446  3 Pd 2.71-2.87, 4 Sb 2.95-2.98

Summary:
The calculation puts the total energy at -6.8694 eV per atom.

***

No. 4
Entry from OQMD via LeMat-Bulk: a geometry-optimized HfSbPd structure (PBE).

Cell lengths 7.2828, 7.2828, 3.9235 Å; angles 90.00, 90.00, 120.00 degrees
With the nearest neighbours (Å) after each atom.
Positions (direct):
Pd 0.3333 0.6667 0.0000  3 Sb 2.63
Pd 0.6667 0.3333 0.0000  3 Sb 2.63
Pd 0.0000 0.0000 0.5000  3 Hf 2.77, 6 Sb 2.85
Hf 0.3808 0.3808 0.5000  5 Pd 2.77-3.00
Hf 0.0000 0.6192 0.5000  5 Pd 2.77-3.00
Hf 0.6192 0.0000 0.5000  5 Pd 2.77-3.00
Sb 0.2835 0.0000 0.0000  4 Pd 2.63-2.85
Sb 0.0000 0.2835 0.0000  4 Pd 2.63-2.85
Sb 0.7165 0.7165 0.0000  4 Pd 2.63-2.85

Summary:
The calculation puts the total energy at -6.9308 eV per atom.

***

No. 5
Entry from OQMD via LeMat-Bulk: a geometry-optimized Hf3Sb4Pd4 structure (PBE).

Cell lengths 6.8107, 4.2194, 7.9833 Å; angles 90.00, 91.36, 90.00 degrees
With the nearest neighbours (Å) after each atom.
Positions (direct):
Hf 0.9749 0.7500 0.2091  5 Sb 2.82-2.98, 3 Pd 3.01-3.03
Hf 0.5356 0.2500 0.7026  6 Pd 2.95-3.30, 5 Sb 2.95-3.09
Hf 0.4593 0.7500 0.3003  5 Pd 2.93-3.08, 5 Sb 2.95-3.12
Sb 0.2227 0.2500 0.0901  4 Pd 2.69-2.77, 2 Hf 2.88
Sb 0.2444 0.7500 0.6224  4 Pd 2.67-2.76, 3 Hf 2.96-2.99
Sb 0.7888 0.7500 0.8904  4 Pd 2.60-2.78, 1 Hf 2.82
Sb 0.7481 0.2500 0.3842  4 Pd 2.64-2.87, 3 Hf 2.95
Pd 0.1678 0.2500 0.4266  4 Sb 2.67-2.87
Pd 0.3856 0.7500 0.9375  4 Sb 2.67-2.78, 2 Pd 2.85, 1 Hf 2.93
Pd 0.8433 0.7500 0.5687  4 Sb 2.60-2.76
Pd 0.6275 0.2500 0.0654  4 Sb 2.66-2.77, 2 Pd 2.85, 1 Hf 2.95

Summary:
The calculation puts the total energy at -6.7041 eV per atom.

***

No. 6
Entry from OQMD via LeMat-Bulk: a geometry-optimized HfSb2Pd structure (PBE).

Cell lengths 4.9762, 4.9762, 4.9762 Å; angles 60.00, 60.00, 60.00 degrees
With the nearest neighbours (Å) after each atom.
Positions (direct):
Pd 0.7500 0.7500 0.7500  4 Hf 3.05, 4 Sb 3.05
Sb 0.0000 0.0000 0.0000  4 Sb 3.05, 4 Pd 3.05
Sb 0.2500 0.2500 0.2500  4 Hf 3.05, 4 Sb 3.05
Hf 0.5000 0.5000 0.5000  4 Pd 3.05, 4 Sb 3.05

Summary:
The calculation puts the total energy at -5.8909 eV per atom.

***

No. 7
Entry from OQMD via LeMat-Bulk: a geometry-optimized HfSb2Pd2 structure (PBE).

Cell lengths 7.0952, 7.0952, 7.0952 Å; angles 147.64, 147.64, 46.42 degrees
With the nearest neighbours (Å) after each atom.
Positions (direct):
Pd 0.2500 0.7500 0.5000  4 Sb 2.68, 4 Pd 2.80
Pd 0.7500 0.2500 0.5000  4 Sb 2.68, 4 Pd 2.80
Hf 0.0000 0.0000 0.0000  8 Sb 3.15
Sb 0.3886 0.3886 0.0000  4 Pd 2.68, 1 Sb 2.91
Sb 0.6114 0.6114 0.0000  4 Pd 2.68, 1 Sb 2.91

Summary:
The calculation puts the total energy at -5.9275 eV per atom.

***

No. 8
Entry from OQMD via LeMat-Bulk: a geometry-optimized Hf3Sb4Pd3 structure (PBE).

Cell lengths 8.1355, 8.1355, 8.1355 Å; angles 109.47, 109.47, 109.47 degrees
With the nearest neighbours (Å) after each atom.
Positions (direct):
Hf 0.7500 0.8750 0.1250  4 Pd 2.88, 4 Sb 3.16
Hf 0.3750 0.2500 0.6250  4 Pd 2.88, 4 Sb 3.16
Hf 0.1250 0.7500 0.8750  4 Pd 2.88, 4 Sb 3.16
Hf 0.6250 0.3750 0.2500  4 Pd 2.88, 4 Sb 3.16
Hf 0.8750 0.1250 0.7500  4 Pd 2.88, 4 Sb 3.16
Hf 0.2500 0.6250 0.3750  4 Pd 2.88, 4 Sb 3.16
Sb 0.6844 0.6844 0.6844  3 Pd 2.67
Sb 0.3156 0.5000 0.0000  3 Pd 2.67
Sb 0.0000 0.8156 0.5000  3 Pd 2.67
Sb 0.1844 0.1844 0.1844  3 Pd 2.67
Sb 0.5000 0.0000 0.3156  3 Pd 2.67
Sb 0.8156 0.5000 0.0000  3 Pd 2.67
Sb 0.0000 0.3156 0.5000  3 Pd 2.67
Sb 0.5000 0.0000 0.8156  3 Pd 2.67
Pd 0.2500 0.1250 0.8750  4 Sb 2.67, 4 Hf 2.88
Pd 0.1250 0.8750 0.2500  4 Sb 2.67, 4 Hf 2.88
Pd 0.6250 0.7500 0.3750  4 Sb 2.67, 4 Hf 2.88
Pd 0.7500 0.3750 0.6250  4 Sb 2.67, 4 Hf 2.88
Pd 0.8750 0.2500 0.1250  4 Sb 2.67, 4 Hf 2.88
Pd 0.3750 0.6250 0.7500  4 Sb 2.67, 4 Hf 2.88

Summary:
The calculation puts the total energy at -6.7879 eV per atom.